[1]
First-principles (GGA-PBE) data for crystalline HfI2Br2 at its relaxed geometry, as listed in the Alexandria database.

Calculated values
- Fermi-level density of states (states/eV per cell) = 2.21
- calculated volume (Å³/cell) = 195.0
- total moment (μB/f.u.) = 0.53
- E_form (uncorrected) (eV per atom) = 0.2859

The structure in POSCAR format:
```
HfI2Br2
1.0
-2.602 3.165 -0.482
-1.569 -0.719 3.747
5.669 8.299 6.236
Br I Hf
2 2 1
direct
0.431 0.431 0.138
0.569 0.569 0.862
0.750 0.250 0.500
0.250 0.750 0.500
0.000 0.000 0.000
```

---

[2]
First-principles (GGA-PBE) data for crystalline HfIn2I2Br4 at its relaxed geometry, as listed in the Alexandria database.

Calculated values
- Fermi-level density of states (states/eV per cell) = 0.00
- calculated volume (Å³/cell) = 340.8
- total moment (μB/f.u.) = 0.00
- E_form (uncorrected) (eV per atom) = -0.9663

The structure in POSCAR format:
```
HfIn2I2Br4
1.0
7.870 1.102 0.750
2.733 7.258 0.389
2.733 3.027 6.609
Hf I Br In
1 2 4 2
direct
0.500 0.000 0.000
0.833 0.759 0.759
0.167 0.241 0.241
0.324 0.705 0.194
0.676 0.295 0.806
0.676 0.806 0.295
0.324 0.194 0.705
0.714 0.246 0.246
0.286 0.754 0.754
```

---

[3]
First-principles (GGA-PBE) data for crystalline K2HfI2Br4 at its relaxed geometry, as listed in the Alexandria database.

Calculated values
- Fermi-level density of states (states/eV per cell) = 0.00
- calculated volume (Å³/cell) = 343.8
- total moment (μB/f.u.) = 0.00
- E_form (uncorrected) (eV per atom) = -1.4443

The structure in POSCAR format:
```
K2HfI2Br4
1.0
-4.263 5.096 -4.371
-3.301 -6.301 3.558
2.842 1.937 7.171
I Br Hf K
2 4 1 2
direct
0.000 0.249 0.249
0.000 0.751 0.751
0.521 0.761 0.761
0.000 0.761 0.239
0.000 0.239 0.761
0.479 0.239 0.239
0.000 0.000 0.000
0.500 0.250 0.750
0.500 0.750 0.250
```

---

[4]
First-principles (GGA-PBE) data for crystalline HfI2BrN at its relaxed geometry, as listed in the Alexandria database.

Calculated values
- Fermi-level density of states (states/eV per cell) = 6.89
- distance to the lowest polymorph of the same formula (eV per formula unit) = 0.000
- calculated volume (Å³/cell) = 140.8
- total moment (μB/f.u.) = 1.23
- E_form (uncorrected) (eV per atom) = -0.0604

The structure in POSCAR format:
```
HfI2BrN
1.0
-3.114 3.882 3.204
3.203 -1.378 4.783
2.637 2.887 -0.934
I N Hf Br
2 1 1 1
direct
0.500 0.000 0.000
0.000 0.500 0.000
0.000 0.000 0.500
0.000 0.000 0.000
0.500 0.500 0.500
```

---

[5]
First-principles (GGA-PBE) data for crystalline HfIBrN2 at its relaxed geometry, as listed in the Alexandria database.

Calculated values
- Fermi-level density of states (states/eV per cell) = 3.50
- distance to the lowest polymorph of the same formula (eV per formula unit) = 0.000
- calculated volume (Å³/cell) = 112.1
- total moment (μB/f.u.) = 0.00
- E_form (uncorrected) (eV per atom) = 0.4601

The structure in POSCAR format:
```
HfIBrN2
1.0
-2.940 -2.252 -1.949
2.787 -3.045 -0.685
-1.605 -2.721 5.566
N Br Hf I
2 1 1 1
direct
0.000 0.500 0.000
0.500 0.000 0.000
0.500 0.500 0.500
0.000 0.000 0.000
0.000 0.000 0.500
```

---

[6]
First-principles (GGA-PBE) data for crystalline HfIBrN2 at its relaxed geometry, as listed in the Alexandria database.

Calculated values
- Fermi-level density of states (states/eV per cell) = 2.89
- distance to the lowest polymorph of the same formula (eV per formula unit) = 8.372
- calculated volume (Å³/cell) = 94.5
- total moment (μB/f.u.) = 0.00
- E_form (uncorrected) (eV per atom) = 2.1345

The structure in POSCAR format:
```
HfIBrN2
1.0
-0.024 -3.265 2.561
3.998 0.667 0.887
-1.468 3.272 4.157
N I Hf Br
2 1 1 1
direct
0.000 0.500 0.000
0.500 0.000 0.000
0.000 0.000 0.500
0.500 0.500 0.500
0.000 0.000 0.000
```

---

[7]
First-principles (GGA-PBE) data for crystalline HfI2BrN at its relaxed geometry, as listed in the Alexandria database.

Calculated values
- Fermi-level density of states (states/eV per cell) = 5.34
- distance to the lowest polymorph of the same formula (eV per formula unit) = 7.250
- calculated volume (Å³/cell) = 141.6
- total moment (μB/f.u.) = 0.83
- E_form (uncorrected) (eV per atom) = 1.3896

The structure in POSCAR format:
```
HfI2BrN
1.0
6.221 0.000 0.000
0.000 6.221 0.000
0.000 0.000 3.659
I Br Hf N
2 1 1 1
direct
0.000 0.500 0.000
0.500 0.000 0.000
0.000 0.000 0.000
0.500 0.500 0.500
0.000 0.000 0.500
```

---

[8]
First-principles (GGA-PBE) data for crystalline NaHfIBr2 at its relaxed geometry, as listed in the Alexandria database.

Calculated values
- Fermi-level density of states (states/eV per cell) = 4.06
- calculated volume (Å³/cell) = 167.0
- total moment (μB/f.u.) = 0.08
- E_form (uncorrected) (eV per atom) = 0.2632

The structure in POSCAR format:
```
NaHfIBr2
1.0
-2.080 -1.142 -4.474
0.455 -6.341 1.407
-4.604 0.137 2.105
Na Hf I Br
1 1 1 2
direct
0.000 0.000 0.000
0.000 0.500 0.000
0.500 0.500 0.500
0.000 0.000 0.500
0.500 0.000 0.000
```